No. 1
A relaxed LaTl2Pb2 crystal, computed with PBE.

The space group is P4/mbm (No. 127) and the conventional cell measures 8.9294, 8.9294 and 3.9525 Å, with angles of 90.00, 90.00 and 90.00 degrees. The asymmetric unit holds La at (0.0000, 0.0000, 0.0000), Tl at (0.1650, 0.3350, 0.5000) and Pb at (0.1312, 0.6312, 0.0000).

The formation energy is -0.11 eV/atom. The value obtained for the energy relative to the lowest polymorph listed for this composition is 153 meV/atom.

No. 2
A relaxed LaTlPb3 crystal, computed with PBE.

The space group is Pm-3m (No. 221) and the conventional cell measures 5.7739, 5.7739 and 5.7739 Å, with angles of 90.00, 90.00 and 90.00 degrees. The asymmetric unit holds La at (0.0000, 0.0000, 0.0000), Tl at (0.5000, 0.5000, 0.5000) and Pb at (0.0000, 0.5000, 0.5000).

The formation energy is 0.34 eV/atom. The value obtained for the energy relative to the lowest polymorph listed for this composition is 410 meV/atom.

No. 3
A relaxed La14TlPb crystal, computed with PBE.

The space group is P4/mmm (No. 123) and the conventional cell measures 7.2573, 7.2573 and 10.5015 Å, with angles of 90.00, 90.00 and 90.00 degrees. The asymmetric unit holds La at (0.0000, 0.0000, 0.0000), La at (0.0000, 0.5000, 0.0000), La at (0.0000, 0.5000, 0.5000), La at (0.2501, 0.2501, 0.2564), La at (0.5000, 0.5000, 0.0000), Tl at (0.0000, 0.0000, 0.5000) and Pb at (0.5000, 0.5000, 0.5000).

The formation energy is -0.14 eV/atom.